Computed, not measured: a relaxed structure of CaV2O4 at the PBE+U level of DFT.

Summary:
- Total magnetic moment: 4.0 μB per formula unit
- Energy: -0.5574 Ry per atom

Cell: 6.3338 6.3338 15.4568 Å, 90.64 90.64 59.04°
Last column: nearest neighbours and their distance in Å.
Sites, in units of the cell vectors:
Ca (0.0000, 0.0000, 0.0000)  4 O 2.21-2.24
Ca (0.0014, 0.0014, 0.7568)  4 O 2.19-2.26
Ca (0.3302, 0.3302, 0.3377)  4 O 2.20-2.25
Ca (0.3325, 0.3325, 0.7130)  6 O 2.29-2.37
Ca (0.3345, 0.3345, 0.0901)  4 O 2.16-2.20
Ca (0.6634, 0.6634, 0.4231)  4 O 2.20-2.22
V (0.0034, 0.4989, 0.8817)  5 O 2.00-2.09
V (0.1588, 0.1588, 0.5438)  6 O 2.04-2.15
V (0.1598, 0.6703, 0.5424)  6 O 2.04-2.20
V (0.3331, 0.8317, 0.2115)  6 O 2.06-2.11
V (0.4989, 0.0034, 0.8817)  5 O 2.00-2.09
V (0.4986, 0.4986, 0.8818)  5 O 2.02-2.10
V (0.6631, 0.6631, 0.6673)  4 O 1.95-2.00
V (0.6684, 0.6684, 0.0465)  6 O 2.05-2.10
V (0.6703, 0.1598, 0.5424)  6 O 2.04-2.20
V (0.8317, 0.3331, 0.2115)  6 O 2.06-2.11
V (0.8317, 0.8317, 0.2119)  6 O 2.03-2.16
V (0.9971, 0.9971, 0.3752)  6 O 2.03-2.08
O (0.0032, 0.0032, 0.1452)  3 V 2.06-2.16, 1 Ca 2.24
O (0.1393, 0.1393, 0.2934)  3 V 2.03-2.10, 1 Ca 2.21
O (0.1432, 0.7071, 0.2867)  3 V 2.05-2.11, 1 Ca 2.20
O (0.1778, 0.6369, 0.8163)  2 V 2.01-2.02, 1 Ca 2.19
O (0.1837, 0.1837, 0.8147)  2 V 2.00, 1 Ca 2.19
O (0.2797, 0.8544, 0.4670)  3 V 2.04-2.08, 1 Ca 2.20
O (0.3330, 0.3330, 0.4833)  3 V 2.04-2.15, 1 Ca 2.25
O (0.3356, 0.3356, 0.9502)  3 V 2.09-2.10, 1 Ca 2.16
O (0.3860, 0.8104, 0.9550)  3 V 2.05-2.08, 1 Ca 2.21
O (0.4906, 0.9980, 0.6141)  3 V 2.00-2.20
O (0.4959, 0.4959, 0.6182)  3 V 1.98-2.16
O (0.5228, 0.9546, 0.1381)  3 V 2.03-2.10, 1 Ca 2.20
O (0.5269, 0.5269, 0.1309)  3 V 2.05-2.08, 1 Ca 2.20
O (0.6369, 0.1778, 0.8163)  2 V 2.01-2.02, 1 Ca 2.19
O (0.6610, 0.6610, 0.2792)  3 V 2.06-2.16, 1 Ca 2.22
O (0.6646, 0.6646, 0.7934)  1 V 1.95
O (0.7071, 0.1432, 0.2867)  3 V 2.05-2.11, 1 Ca 2.20
O (0.8065, 0.8065, 0.9591)  3 V 2.05-2.06, 1 Ca 2.22
O (0.8104, 0.3860, 0.9550)  3 V 2.05-2.08, 1 Ca 2.21
O (0.8544, 0.2797, 0.4670)  3 V 2.04-2.08, 1 Ca 2.20
O (0.8564, 0.8564, 0.4619)  3 V 2.06-2.07, 1 Ca 2.20
O (0.9546, 0.5228, 0.1381)  3 V 2.03-2.10, 1 Ca 2.20
O (0.9917, 0.9917, 0.6109)  3 V 2.04-2.12, 1 Ca 2.26
O (0.9980, 0.4906, 0.6141)  3 V 2.00-2.20